# SmSiTe3 (PBE, relaxed)
data_SmSiTe3
_cell_length_a 8.5934
_cell_length_b 7.1468
_cell_length_c 9.8366
_cell_angle_alpha 90.00
_cell_angle_beta 90.00
_cell_angle_gamma 90.00
_space_group_name_H-M_alt 'P n a 21'
_space_group_IT_number 33
_space_group_name_Hall 'P 2c -2n'
loop_
_atom_site_label
_atom_site_fract_x
_atom_site_fract_y
_atom_site_fract_z
Sm1 0.1182 0.0357 0.0000
Si1 0.0711 0.5279 0.2352
Te1 0.0352 0.3773 0.4888
Te2 0.1750 0.8393 0.6933
Te3 0.1770 0.8501 0.3090
# Energy (eV/atom): -4.52
# Formation energy without anion corrections (eV/f.u.): -3.1
# Size of the total moment (μB/f.u.): 0.0